Entry 1:
Li4Au | PBE-GGA | optimized geometry

```
Li4Au
1.0
5.764 -4.672 1.232
3.922 -0.493 6.398
-6.755 -0.240 -3.297
Li Au
8 2
direct
0.682 0.699 0.983
0.846 0.096 0.750
0.500 0.500 0.000
0.154 0.904 0.250
0.216 0.699 0.517
0.000 0.500 0.500
0.318 0.301 0.017
0.784 0.301 0.483
0.359 0.109 0.250
0.641 0.891 0.750
```

Calculated values
Calculated total energy in eV per atom: -2.486
V in Å³/cell: 154.5
Symmetry: Imma (74)
Crystal system: orthorhombic

=====

Entry 2:
Li2Au | PBE-GGA | optimized geometry

```
Li2Au
1.0
-1.872 -1.307 4.367
-0.960 3.437 3.398
-4.666 1.124 1.117
Au Li
2 4
direct
0.250 0.250 0.250
0.000 0.000 0.000
0.625 0.625 0.625
0.625 0.125 0.625
0.625 0.625 0.125
0.125 0.625 0.625
```

Calculated values
Calculated total energy in eV per atom: -2.624
V in Å³/cell: 84.6
Symmetry: Fd-3m (227)
Crystal system: cubic

=====

Number 1 is which compound? Li4Au

=====

Which value of V does entry 1 give? 154.5 Å³/cell